(1)
This record from the Alexandria database describes a relaxed CaPmAlAg crystal. The functional is GGA-PBE.

Output
Formation energy (eV per atom): -0.2944
Total magnetization (μB per cell): 0.000
Space-group type: F-43m
Energy above the lowest structure with this stoichiometry (meV per atom): 0

abc: 5.2608 5.2608 5.2608
angles: 60.00 60.00 60.00
With the nearest neighbours (Å) after each atom.
Sites, in units of the cell vectors:
Ca: 0.0000 0.0000 0.0000  4 Ag 3.22, 4 Al 3.22
Pm: 0.5000 0.5000 0.5000  4 Al 3.22, 4 Ag 3.22
Al: 0.7500 0.7500 0.7500  4 Ca 3.22, 4 Pm 3.22
Ag: 0.2500 0.2500 0.2500  4 Pm 3.22, 4 Ca 3.22


(2)
This record from the Alexandria database describes a relaxed Ca2Al4AgPt3 crystal. The functional is GGA-PBE.

Output
Formation energy (eV per atom): -0.8572
Total magnetization (μB per cell): 0.000
Space-group type: P-4m2

abc: 4.3416 4.3416 10.3223
angles: 90.00 90.00 90.00
With the nearest neighbours (Å) after each atom.
Sites, in units of the cell vectors:
Ca: 0.0000 0.5000 0.2485  6 Pt 3.31-3.38, 8 Al 3.31-3.36, 2 Ag 3.38
Ca: 0.5000 0.0000 0.7515  6 Pt 3.31-3.38, 8 Al 3.31-3.36, 2 Ag 3.38
Al: 0.0000 0.0000 0.0000  4 Pt 2.55
Al: 0.0000 0.5000 0.6315  3 Pt 2.47-2.56, 2 Ag 2.56
Al: 0.5000 0.0000 0.3685  3 Pt 2.47-2.56, 2 Ag 2.56
Al: 0.5000 0.5000 0.0000  4 Pt 2.55
Ag: 0.0000 0.0000 0.5000  4 Al 2.56
Pt: 0.0000 0.5000 0.8710  5 Al 2.47-2.55
Pt: 0.5000 0.0000 0.1290  5 Al 2.47-2.55
Pt: 0.5000 0.5000 0.5000  4 Al 2.56


(3)
This record from the Alexandria database describes a relaxed CaAl3AgPt crystal. The functional is GGA-PBE.

Output
Formation energy (eV per atom): -0.4378
Total magnetization (μB per cell): 0.000
Space-group type: Cmcm

abc: 7.3913 7.3913 5.8217
angles: 90.00 90.00 132.56
With the nearest neighbours (Å) after each atom.
Sites, in units of the cell vectors:
Ca: 0.2041 0.7959 0.7500  1 Pt 2.78, 2 Ag 2.97
Ca: 0.7959 0.2041 0.2500  1 Pt 2.78, 2 Ag 2.97
Al: 0.2225 0.2225 0.0000  2 Pt 2.52, 1 Al 2.65
Al: 0.2225 0.2225 0.5000  2 Pt 2.52, 1 Al 2.65
Al: 0.3681 0.6319 0.2500  1 Ag 2.83, 4 Al 2.83, 3 Pt 2.96-3.01, 2 Ca 3.13
Al: 0.6319 0.3681 0.7500  1 Ag 2.83, 4 Al 2.83, 3 Pt 2.96-3.01, 2 Ca 3.13
Al: 0.7775 0.7775 0.0000  2 Pt 2.52, 1 Al 2.65
Al: 0.7775 0.7775 0.5000  2 Pt 2.52, 1 Al 2.65
Ag: 0.1592 0.8408 0.2500  5 Al 2.83-2.92, 2 Ca 2.97, 2 Pt 3.11
Ag: 0.8408 0.1592 0.7500  5 Al 2.83-2.92, 2 Ca 2.97, 2 Pt 3.11
Pt: 0.4092 0.5908 0.7500  4 Al 2.52, 1 Ca 2.78
Pt: 0.5908 0.4092 0.2500  4 Al 2.52, 1 Ca 2.78


(4)
This record from the Alexandria database describes a relaxed RbCaAlAg2 crystal. The functional is GGA-PBE.

Output
Formation energy (eV per atom): 0.1770
Total magnetization (μB per cell): 0.000
Space-group type: P4/mmm

abc: 5.2346 5.2346 5.7420
angles: 90.00 90.00 90.00
With the nearest neighbours (Å) after each atom.
Sites, in units of the cell vectors:
Rb: 0.0000 0.0000 0.0000  4 Ca 3.70, 8 Ag 3.88
Ca: 0.5000 0.5000 0.0000  2 Al 2.87
Al: 0.5000 0.5000 0.5000  4 Ag 2.62, 2 Ca 2.87
Ag: 0.0000 0.5000 0.5000  2 Al 2.62
Ag: 0.5000 0.0000 0.5000  2 Al 2.62


(5)
This record from the Alexandria database describes a relaxed CaScAl2Ag5 crystal. The functional is GGA-PBE.

Output
Formation energy (eV per atom): -0.1391
Total magnetization (μB per cell): 0.000
Space-group type: P4/mmm

abc: 4.2265 4.2265 10.0496
angles: 90.00 90.00 90.00
With the nearest neighbours (Å) after each atom.
Sites, in units of the cell vectors:
Ca: 0.0000 0.0000 0.0000  12 Ag 2.99-3.11
Sc: 0.0000 0.0000 0.5000  8 Al 3.24, 8 Ag 3.46
Al: 0.5000 0.5000 0.3767  1 Al 2.48, 4 Ag 2.59
Al: 0.5000 0.5000 0.6233  1 Al 2.48, 4 Ag 2.59
Ag: 0.0000 0.5000 0.2272  2 Al 2.59
Ag: 0.0000 0.5000 0.7728  2 Al 2.59
Ag: 0.5000 0.0000 0.2272  2 Al 2.59
Ag: 0.5000 0.0000 0.7728  2 Al 2.59
Ag: 0.5000 0.5000 0.0000  4 Ca 2.99, 8 Ag 3.11


(6)
This record from the Alexandria database describes a relaxed CaScAlAg crystal. The functional is GGA-PBE.

Output
Formation energy (eV per atom): -0.2383
Total magnetization (μB per cell): 0.000
Space-group type: F-43m

abc: 5.0365 5.0365 5.0365
angles: 60.00 60.00 60.00
With the nearest neighbours (Å) after each atom.
Sites, in units of the cell vectors:
Ca: 0.0000 0.0000 0.0000  4 Ag 3.08, 4 Al 3.08
Sc: 0.5000 0.5000 0.5000  4 Al 3.08, 4 Ag 3.08
Al: 0.2500 0.2500 0.2500  4 Sc 3.08, 4 Ca 3.08
Ag: 0.7500 0.7500 0.7500  4 Sc 3.08, 4 Ca 3.08